{
  "formula": "CaPW2",
  "functional": "PBE-GGA",
  "state": "optimized geometry",
  "lattice": [[5.252, 0.007, -0.005], [1.931, 4.884, 0.005], [-3.010, -3.300, 2.763]],
  "species": ["Ca", "W", "W", "P"],
  "frac_coords": [[0.492, 0.492, 0.000], [0.773, 0.273, 0.500], [0.009, 0.009, 0.000], [0.225, 0.725, 0.500]],
  "crystal_system": "orthorhombic",
  "formation_enthalpy_0k_ev_per_atom": 0.58
}


{
  "formula": "Zn6CuPt5",
  "functional": "PBE-GGA",
  "state": "optimized geometry",
  "lattice": [[-2.802, 2.543, 1.361], [-3.751, -5.512, 2.579], [1.553, 1.717, 5.930]],
  "species": ["Zn", "Zn", "Zn", "Zn", "Zn", "Zn", "Pt", "Pt", "Pt", "Pt", "Pt", "Cu"],
  "frac_coords": [[0.167, 0.751, 0.666], [0.833, 0.751, 0.334], [0.167, 0.249, 0.666], [0.500, 0.749, 0.000], [0.833, 0.249, 0.334], [0.500, 0.251, 0.000], [0.339, 0.000, 0.321], [0.333, 0.500, 0.333], [0.661, 0.000, 0.679], [0.667, 0.500, 0.667], [0.000, 0.500, 0.000], [0.000, 0.000, 0.000]],
  "crystal_system": "orthorhombic",
  "formation_enthalpy_0k_ev_per_atom": -0.50
}


{
  "formula": "Rb4Ac3ZnO8",
  "functional": "PBE-GGA",
  "state": "optimized geometry",
  "lattice": [[7.296, 0.000, 0.000], [0.000, 7.750, 0.314], [-3.648, -3.644, 5.739]],
  "species": ["O", "O", "O", "O", "O", "O", "O", "O", "Rb", "Rb", "Rb", "Rb", "Ac", "Ac", "Ac", "Zn"],
  "frac_coords": [[0.276, 0.731, 0.553], [0.185, 0.658, 0.942], [0.716, 0.687, 0.433], [0.243, 0.342, 0.058], [0.284, 0.313, 0.567], [0.724, 0.269, 0.447], [0.757, 0.658, 0.942], [0.815, 0.342, 0.058], [0.500, 0.000, 0.000], [0.000, 0.000, 0.500], [0.000, 0.000, 0.000], [0.500, 0.000, 0.500], [0.000, 0.500, 0.500], [0.500, 0.500, 0.500], [0.500, 0.500, 0.000], [0.000, 0.500, 0.000]],
  "crystal_system": "monoclinic",
  "e_form_raw_ev_per_fu": -33.04
}